First-principles (PBE-GGA) data for SrTl3Rh after structural relaxation, as listed in Alexandria.

abc: 6.010 6.010 6.010
angles: 90.00 90.00 90.00
Space group Pm-3m (No. 221)
One atom of each set of equivalent atoms:
Sr 0.000 0.000 0.000 (multiplicity 1)
Tl 0.000 0.000 0.500 (multiplicity 3)
Rh 0.500 0.500 0.500 (multiplicity 1)

Summary:
Formation energy from the elements = 1.308 eV per atom
Energy above the lowest structure with this stoichiometry = 1519 meV per atom

First-principles (PBE-GGA) data for SrTl2Rh after structural relaxation, as listed in Alexandria.

abc: 3.696 5.446 10.345
angles: 90.00 90.00 90.00
Space group Immm (No. 71)
One atom of each set of equivalent atoms:
Sr 0.000 0.000 0.000 (multiplicity 2)
Tl 0.000 0.500 0.207 (multiplicity 4)
Rh 0.000 0.000 0.500 (multiplicity 2)

Summary:
Formation energy from the elements = -0.160 eV per atom

First-principles (PBE-GGA) data for SrTl3Rh2 after structural relaxation, as listed in Alexandria.

abc: 17.252 4.470 8.773
angles: 90.00 120.24 90.00
Space group C2/m (No. 12)
One atom of each set of equivalent atoms:
Sr 0.136 0.000 0.117 (multiplicity 4)
Tl 0.012 0.000 0.343 (multiplicity 4)
Tl 0.158 0.500 0.829 (multiplicity 4)
Tl 0.174 0.500 0.450 (multiplicity 4)
Rh 0.001 0.500 0.144 (multiplicity 4)
Rh 0.189 0.000 0.661 (multiplicity 4)

Summary:
Formation energy from the elements = -0.110 eV per atom
Energy above the lowest structure with this stoichiometry = 0 meV per atom

First-principles (PBE-GGA) data for Sr8Tl2Rh after structural relaxation, as listed in Alexandria.

abc: 5.544 9.592 15.872
angles: 90.00 90.00 90.00
Space group Immm (No. 71)
One atom of each set of equivalent atoms:
Sr 0.000 0.000 0.123 (multiplicity 4)
Sr 0.000 0.227 0.343 (multiplicity 8)
Sr 0.000 0.324 0.000 (multiplicity 4)
Tl 0.000 0.500 0.190 (multiplicity 4)
Rh 0.000 0.500 0.500 (multiplicity 2)

Summary:
Formation energy from the elements = -0.085 eV per atom
Energy above the lowest structure with this stoichiometry = 126 meV per atom

First-principles (PBE-GGA) data for Sr3TlRh after structural relaxation, as listed in Alexandria.

abc: 7.206 5.390 9.321
angles: 90.00 103.42 90.00
Space group P2_1/m (No. 11)
One atom of each set of equivalent atoms:
Sr 0.038 0.250 0.345 (multiplicity 2)
Sr 0.245 0.250 0.947 (multiplicity 2)
Sr 0.434 0.750 0.607 (multiplicity 2)
Tl 0.308 0.750 0.202 (multiplicity 2)
Rh 0.294 0.250 0.646 (multiplicity 2)

Summary:
Formation energy from the elements = -0.237 eV per atom
Energy above the lowest structure with this stoichiometry = 29 meV per atom

First-principles (PBE-GGA) data for Sr6Tl2Rh after structural relaxation, as listed in Alexandria.

abc: 7.361 9.121 13.211
angles: 90.00 123.62 90.00
Space group P2_1/c (No. 14)
One atom of each set of equivalent atoms:
Sr 0.108 0.158 0.444 (multiplicity 4)
Sr 0.299 0.700 0.440 (multiplicity 4)
Sr 0.364 0.032 0.248 (multiplicity 4)
Tl 0.201 0.115 0.760 (multiplicity 4)
Rh 0.500 0.000 0.500 (multiplicity 2)

Summary:
Formation energy from the elements = -0.266 eV per atom

First-principles (PBE-GGA) data for SrTl2Rh after structural relaxation, as listed in Alexandria.

abc: 5.256 5.256 18.445
angles: 90.00 90.00 90.00
Space group I-42d (No. 122)
One atom of each set of equivalent atoms:
Sr 0.000 0.000 0.000 (multiplicity 4)
Tl 0.126 0.250 0.625 (multiplicity 8)
Rh 0.000 0.000 0.500 (multiplicity 4)

Summary:
Formation energy from the elements = 0.082 eV per atom

First-principles (PBE-GGA) data for SrTl2Rh after structural relaxation, as listed in Alexandria.

abc: 3.668 3.668 7.740
angles: 90.00 90.00 90.00
Space group P4mm (No. 99)
One atom of each set of equivalent atoms:
Sr 0.000 0.000 0.000 (multiplicity 1)
Tl 0.000 0.000 0.584 (multiplicity 1)
Tl 0.500 0.500 0.326 (multiplicity 1)
Rh 0.500 0.500 0.742 (multiplicity 1)

Summary:
Formation energy from the elements = -0.082 eV per atom

First-principles (PBE-GGA) data for Sr4TlRh2 after structural relaxation, as listed in Alexandria.

abc: 5.1350 5.1350 30.3028
angles: 90.00 90.00 120.00
Space group R-3m (No. 166, hexagonal axes)
One atom of each set of equivalent atoms:
Sr 0.0000 0.0000 0.1095 (multiplicity 6)
Sr 0.0000 0.0000 0.2964 (multiplicity 6)
Tl 0.0000 0.0000 0.5000 (multiplicity 3)
Rh 0.0000 0.0000 0.4094 (multiplicity 6)

Summary:
Formation energy from the elements = -0.223 eV per atom

First-principles (PBE-GGA) data for Sr3Tl7Rh2 after structural relaxation, as listed in Alexandria.

abc: 5.004 4.988 14.317
angles: 90.00 100.06 90.00
Space group P2/m (No. 10)
One atom of each set of equivalent atoms:
Sr 0.000 0.000 0.000 (multiplicity 1)
Sr 0.319 0.500 0.643 (multiplicity 2)
Tl 0.088 0.500 0.173 (multiplicity 2)
Tl 0.220 0.000 0.437 (multiplicity 2)
Tl 0.415 0.000 0.831 (multiplicity 2)
Tl 0.500 0.500 0.000 (multiplicity 1)
Rh 0.124 0.000 0.248 (multiplicity 2)

Summary:
Formation energy from the elements = -0.244 eV per atom

First-principles (PBE-GGA) data for SrTl2Rh after structural relaxation, as listed in Alexandria.

abc: 16.524 8.260 6.005
angles: 90.00 90.00 90.00
Space group Pnma (No. 62)
One atom of each set of equivalent atoms:
Sr 0.103 0.250 0.247 (multiplicity 4)
Sr 0.139 0.750 0.032 (multiplicity 4)
Tl 0.039 0.053 0.744 (multiplicity 8)
Tl 0.213 0.549 0.526 (multiplicity 8)
Rh 0.073 0.750 0.513 (multiplicity 4)
Rh 0.185 0.250 0.765 (multiplicity 4)

Summary:
Formation energy from the elements = -0.281 eV per atom

First-principles (PBE-GGA) data for SrTl2Rh2 after structural relaxation, as listed in Alexandria.

abc: 8.208 8.208 3.195
angles: 90.00 90.00 90.00
Space group P4/mbm (No. 127)
One atom of each set of equivalent atoms:
Sr 0.000 0.000 0.000 (multiplicity 2)
Tl 0.131 0.369 0.000 (multiplicity 4)
Rh 0.168 0.668 0.500 (multiplicity 4)

Summary:
Formation energy from the elements = -0.067 eV per atom
Energy above the lowest structure with this stoichiometry = 145 meV per atom

no.,E_tot (eV per atom),calculated volume (Å³ per cell)
1,-1.92,217.1
2,-3.60,208.2
3,-4.02,584.5
4,-2.41,844.1
5,-3.19,352.1
6,-2.73,738.7
7,-3.36,509.6
8,-3.52,104.1
9,-3.62,692.0
10,-3.27,351.8
11,-3.72,819.6
12,-4.29,215.2